[1]
LiLaSn2Rh4: optimized geometry, PBE.

Structure (POSCAR):
```
LiLaSn2Rh4
1.0
2.233 1.289 8.353
-2.233 1.289 8.353
0.000 -2.578 8.353
Li La Sn Rh
1 1 2 4
Direct
0.000 0.000 0.000
0.500 0.500 0.500
0.263 0.263 0.263
0.737 0.737 0.737
0.101 0.101 0.101
0.371 0.371 0.371
0.629 0.629 0.629
0.899 0.899 0.899
```

Summary:
D(E_F) = 3.42 states/eV/f.u.
DFT formation energy = -0.62 eV/atom
SG = R-3m
ρ = 9.1 Mg/m³



[2]
Pr12Tl5In2: optimized geometry, PBE.

Structure (POSCAR):
```
Pr12Tl5In2
1.0
8.368 -4.095 0.000
8.368 4.095 0.000
-1.138 0.000 9.314
Pr Tl In
12 5 2
Direct
0.029 0.029 0.188
0.099 0.612 0.038
0.113 0.547 0.621
0.388 0.901 0.962
0.453 0.887 0.379
0.454 0.454 0.321
0.546 0.546 0.679
0.547 0.113 0.621
0.612 0.099 0.038
0.887 0.453 0.379
0.901 0.388 0.962
0.971 0.971 0.812
0.161 0.161 0.676
0.250 0.250 0.214
0.500 0.500 0.000
0.750 0.750 0.786
0.839 0.839 0.324
0.176 0.824 0.500
0.824 0.176 0.500
```

Summary:
D(E_F) = 19.56 states/eV/f.u.
DFT formation energy = -0.14 eV/atom
SG = C2/m
ρ = 7.7 Mg/m³



[3]
CdAgB2Os: optimized geometry, PBE.

Structure (POSCAR):
```
CdAgB2Os
1.0
4.050 0.000 0.000
0.000 4.050 0.000
0.000 0.000 5.352
Cd Ag B Os
1 1 2 1
Direct
0.000 0.000 0.000
0.500 0.500 0.500
0.000 0.500 0.500
0.500 0.000 0.500
0.500 0.500 0.000
```

Summary:
D(E_F) = 3.12 states/eV/f.u.
DFT formation energy = 2.04 eV/atom
SG = P4/mmm
ρ = 8.2 Mg/m³



[4]
Ho4ThCu5: optimized geometry, PBE.

Structure (POSCAR):
```
Ho4ThCu5
1.0
3.448 0.000 0.000
0.000 3.448 0.000
0.000 0.000 17.644
Ho Th Cu
4 1 5
Direct
0.000 0.000 0.098
0.000 0.000 0.294
0.000 0.000 0.706
0.000 0.000 0.902
0.000 0.000 0.500
0.500 0.500 0.000
0.500 0.500 0.197
0.500 0.500 0.389
0.500 0.500 0.611
0.500 0.500 0.803
```

Summary:
D(E_F) = 5.69 states/eV/f.u.
DFT formation energy = -0.22 eV/atom
SG = P4/mmm
ρ = 9.6 Mg/m³



[5]
NaReW: optimized geometry, PBE.

Structure (POSCAR):
```
NaReW
1.0
2.712 0.000 0.000
0.000 4.497 0.000
-0.904 0.000 9.367
Na Re W
2 2 2
Direct
0.000 0.000 0.000
0.381 0.500 0.798
0.006 0.500 0.487
0.689 0.000 0.585
0.338 0.000 0.324
0.669 0.500 0.216
```

Summary:
D(E_F) = 2.06 states/eV/f.u.
DFT formation energy = 0.56 eV/atom
SG = Pm
Energy above the lowest structure with this stoichiometry = 0.38 eV/f.u.
ρ = 11.4 Mg/m³



[6]
NaCoIr2Se: optimized geometry, PBE.

Structure (POSCAR):
```
NaCoIr2Se
1.0
4.646 0.000 0.000
0.000 4.646 0.000
0.000 0.000 4.430
Na Co Ir Se
1 1 2 1
Direct
0.000 0.000 0.000
0.500 0.500 0.000
0.000 0.500 0.500
0.500 0.000 0.500
0.500 0.500 0.500
```

Summary:
D(E_F) = 4.36 states/eV/f.u.
Raw formation energy = 0.820 eV per atom
SG = P4/mmm
ρ = 9.5 Mg/m³



[7]
KSBr3: optimized geometry, PBE.

Structure (POSCAR):
```
KSBr3
1.0
6.222 0.000 0.000
0.000 6.222 0.000
0.000 0.000 6.222
K S Br
1 1 3
Direct
0.000 0.000 0.000
0.500 0.500 0.500
0.000 0.000 0.500
0.000 0.500 0.000
0.500 0.000 0.000
```

Summary:
D(E_F) = 8.92 states/eV/f.u.
Raw formation energy = 0.294 eV per atom
SG = Pm-3m
Energy above the lowest structure with this stoichiometry = 4.15 eV/f.u.
ρ = 2.1 Mg/m³



[8]
Ir2PtBr: optimized geometry, PBE.

Structure (POSCAR):
```
Ir2PtBr
1.0
2.908 0.000 0.000
0.000 4.777 0.000
-0.023 0.000 4.727
Ir Pt Br
2 1 1
Direct
0.245 0.000 0.255
0.755 0.000 0.745
0.000 0.500 0.500
0.500 0.500 0.000
```

Summary:
D(E_F) = 4.59 states/eV/f.u.
Raw formation energy = 0.883 eV per atom
SG = P2/m
Energy above the lowest structure with this stoichiometry = 1.52 eV/f.u.
ρ = 16.7 Mg/m³



Short version: DFT total energy = -6.1544 -4.0712 -3.6322 -4.8442 -8.3514 -5.1062 -1.7542 -5.4764 eV per atom, in the order given.